[1]
{
  "formula": "BaZrMo2",
  "functional": "GGA-PBE",
  "state": "relaxed",
  "sg": "Imm2, No. 44",
  "crystal_system": "orthorhombic",
  "e_tot_ev_per_atom": -7.369,
  "dos_at_fermi_per_ev_fu": 5.03,
  "cell": [[-1.730, 6.054, -3.735], [-6.243, 2.257, -3.087], [3.953, -2.293, 5.719]],
  "species": ["Zr", "Mo", "Ba", "Mo"],
  "frac_coords": [[0.468, 0.468, 0.000], [0.851, 0.351, 0.500], [0.205, 0.705, 0.500], [0.976, 0.976, 0.000]]
}

=====

[2]
{
  "formula": "BaZrMo2",
  "functional": "GGA-PBE",
  "state": "relaxed",
  "sg": "P4mm, No. 99",
  "crystal_system": "tetragonal",
  "e_tot_ev_per_atom": -7.583,
  "dos_at_fermi_per_ev_fu": 5.01,
  "cell": [[-2.800, -0.935, 1.429], [-1.128, -1.047, -2.896], [3.497, -8.088, 1.560]],
  "species": ["Mo", "Ba", "Mo", "Zr"],
  "frac_coords": [[0.500, 0.500, 0.224], [0.500, 0.500, 0.782], [0.000, 0.000, 0.076], [0.000, 0.000, 0.417]]
}

=====

[3]
{
  "formula": "BaZrMo2",
  "functional": "GGA-PBE",
  "state": "relaxed",
  "sg": "R3m, No. 160",
  "crystal_system": "trigonal",
  "e_tot_ev_per_atom": -7.302,
  "dos_at_fermi_per_ev_fu": 6.39,
  "cell": [[10.419, 0.028, 0.017], [9.910, 3.217, 0.017], [9.910, 1.582, 2.801]],
  "species": ["Zr", "Mo", "Ba", "Mo"],
  "frac_coords": [[0.518, 0.518, 0.518], [0.982, 0.982, 0.982], [0.744, 0.744, 0.744], [0.257, 0.257, 0.257]]
}

=====

[4]
{
  "formula": "BaZrMo2",
  "functional": "GGA-PBE",
  "state": "relaxed",
  "sg": "C2/m, No. 12",
  "crystal_system": "monoclinic",
  "e_tot_ev_per_atom": -6.942,
  "dos_at_fermi_per_ev_fu": 4.75,
  "cell": [[-4.217, -4.097, -0.732], [5.248, -1.670, 1.528], [-0.409, -0.658, 2.915]],
  "species": ["Mo", "Mo", "Zr", "Ba"],
  "frac_coords": [[0.500, 0.000, 0.500], [0.000, 0.000, 0.000], [0.000, 0.500, 0.500], [0.500, 0.500, 0.000]]
}

=====

[5]
{
  "formula": "BaZrMo2",
  "functional": "GGA-PBE",
  "state": "relaxed",
  "sg": "F-43m, No. 216",
  "crystal_system": "cubic",
  "e_tot_ev_per_atom": -6.973,
  "dos_at_fermi_per_ev_fu": 6.92,
  "cell": [[-0.663, 4.564, 1.751], [0.174, 0.826, 4.860], [3.800, 2.471, 1.947]],
  "species": ["Ba", "Zr", "Mo", "Mo"],
  "frac_coords": [[0.500, 0.500, 0.500], [0.750, 0.750, 0.750], [0.000, 0.000, 0.000], [0.250, 0.250, 0.250]]
}

=====

[6]
{
  "formula": "BaZrMo2",
  "functional": "GGA-PBE",
  "state": "relaxed",
  "sg": "Pm, No. 6",
  "crystal_system": "monoclinic",
  "e_tot_ev_per_atom": -7.459,
  "dos_at_fermi_per_ev_fu": 4.33,
  "cell": [[4.193, 0.000, 0.000], [0.000, 3.146, 0.272], [0.000, 2.252, 7.954]],
  "species": ["Mo", "Zr", "Mo", "Ba"],
  "frac_coords": [[0.500, 0.178, 0.220], [0.000, 0.395, 0.405], [0.000, 0.980, 0.095], [0.500, 0.947, 0.779]]
}